Record 1
Here is a geometry-optimized Li3Zr3CrSe8 structure from Alexandria. Energies are from PBE-GGA.

```
data_Li3Zr3CrSe8
_chemical_formula_sum 'Li9 Zr9 Cr3 Se24'
_space_group_name_H-M_alt 'R -3 m'
_space_group_IT_number 166
_space_group_name_Hall '-R 3 2"'
_cell_length_a 7.5000
_cell_length_b 7.5000
_cell_length_c 19.8376
_cell_angle_alpha 90.00
_cell_angle_beta 90.00
_cell_angle_gamma 120.00
loop_
_atom_site_label
_atom_site_type_symbol
_atom_site_fract_x
_atom_site_fract_y
_atom_site_fract_z
Li1 Li 0.0000 0.5000 0.0000
Zr1 Zr 0.0000 0.5000 0.5000
Cr1 Cr 0.0000 0.0000 0.5000
Se1 Se 0.0000 0.0000 0.2508
Se2 Se 0.0149 0.5075 0.2462
```

***

Record 2
Here is a geometry-optimized LiCrSi2 structure from Alexandria. Energies are from PBE-GGA.

```
data_LiCrSi2
_chemical_formula_sum 'Li2 Cr2 Si4'
_space_group_name_H-M_alt 'C m m 2'
_space_group_IT_number 35
_space_group_name_Hall 'C 2 -2'
_cell_length_a 3.410
_cell_length_b 3.760
_cell_length_c 8.175
_cell_angle_alpha 90.00
_cell_angle_beta 90.00
_cell_angle_gamma 90.00
loop_
_atom_site_label
_atom_site_type_symbol
_atom_site_fract_x
_atom_site_fract_y
_atom_site_fract_z
Li1 Li 0.000 0.000 0.000
Cr1 Cr 0.000 0.500 0.269
Si1 Si 0.000 0.000 0.486
Si2 Si 0.000 0.500 0.750
```

***

Record 3
Here is a geometry-optimized LiCrSi2 structure from Alexandria. Energies are from PBE-GGA.

```
data_LiCrSi2
_chemical_formula_sum 'Li1 Cr1 Si2'
_space_group_name_H-M_alt 'P 4/m m m'
_space_group_IT_number 123
_space_group_name_Hall '-P 4 2'
_cell_length_a 3.721
_cell_length_b 3.721
_cell_length_c 3.688
_cell_angle_alpha 90.00
_cell_angle_beta 90.00
_cell_angle_gamma 90.00
loop_
_atom_site_label
_atom_site_type_symbol
_atom_site_fract_x
_atom_site_fract_y
_atom_site_fract_z
Li1 Li 0.000 0.000 0.000
Cr1 Cr 0.500 0.500 0.000
Si1 Si 0.000 0.500 0.500
```

***

Record 4
Here is a geometry-optimized LiCr3Si structure from Alexandria. Energies are from PBE-GGA.

```
data_LiCr3Si
_chemical_formula_sum 'Li1 Cr3 Si1'
_space_group_name_H-M_alt 'P m -3 m'
_space_group_IT_number 221
_space_group_name_Hall '-P 4 2 3'
_cell_length_a 3.943
_cell_length_b 3.943
_cell_length_c 3.943
_cell_angle_alpha 90.00
_cell_angle_beta 90.00
_cell_angle_gamma 90.00
loop_
_atom_site_label
_atom_site_type_symbol
_atom_site_fract_x
_atom_site_fract_y
_atom_site_fract_z
Li1 Li 0.000 0.000 0.000
Cr1 Cr 0.000 0.000 0.500
Si1 Si 0.500 0.500 0.500
```

***

no.,raw formation energy (meV/atom),calculated total energy (eV per atom)
1,-1200,-5.79
2,253,-5.34
3,-46,-5.64
4,1220,-6.02